VASP calculation (GGA-PBE) on an optimized crystal structure of K2Ga2HgCl6.

## Properties
* raw formation energy: -1.3000 eV per atom
* space group: P-1 (2)
* calculated volume: 38.9 A^3/atom

Lattice parameters (Å, degrees): 7.8235 7.9209 8.5454 72.87 63.10 66.05
Element x y z (fractional)
K (0.0899, 0.2828, 0.2834)
K (0.9101, 0.7172, 0.7166)
Ga (0.4571, 0.6230, 0.3868)
Ga (0.5429, 0.3770, 0.6132)
Hg (0.0000, 0.0000, 0.0000)
Cl (0.2265, 0.6004, 0.3091)
Cl (0.2659, 0.3597, 0.8599)
Cl (0.2945, 0.9055, 0.4834)
Cl (0.7055, 0.0945, 0.5166)
Cl (0.7341, 0.6403, 0.1401)
Cl (0.7735, 0.3996, 0.6909)


VASP calculation (GGA-PBE) on an optimized crystal structure of KGaHg2Cl8.

## Properties
* raw formation energy: -0.9678 eV per atom
* space group: P-1 (2)
* calculated volume: 31.4 A^3/atom

Lattice parameters (Å, degrees): 6.4550 7.2185 8.8260 112.26 91.68 96.18
Element x y z (fractional)
K (0.0000, 0.0000, 0.0000)
Ga (0.0000, 0.0000, 0.5000)
Hg (0.4728, 0.2771, 0.7823)
Hg (0.5272, 0.7229, 0.2177)
Cl (0.1289, 0.7786, 0.2400)
Cl (0.1968, 0.8719, 0.6483)
Cl (0.2891, 0.2722, 0.5333)
Cl (0.4465, 0.2847, 0.0631)
Cl (0.5535, 0.7153, 0.9369)
Cl (0.7109, 0.7278, 0.4667)
Cl (0.8032, 0.1281, 0.3517)
Cl (0.8711, 0.2214, 0.7600)


What is the raw formation energy in the first record?
-1.3000 eV per atom


Which formula does entry 1 have?
K2Ga2HgCl6


Which formula does entry 1 have?
K2Ga2HgCl6


Among the records above, which one has the lowest raw formation energy?
K2Ga2HgCl6